Entry 1:
The following is a DFT calculation (PBE) of Cd2Ag6Pd3 after structural relaxation.

Output
* total magnetic moment: 0.000 μB per cell
* space group: I4/mmm (139)
* E_form: 72 meV per atom
* DOS at the Fermi energy: 4.2 states/eV per cell
* total energy: -3.066 eV/atom

Unit cell a=14.2205 b=14.2205 c=14.2205 alpha=164.12 beta=164.12 gamma=22.53
Fractional positions:
1 Cd 0.1586 0.1586 0.0000
2 Cd 0.8414 0.8414 0.0000
3 Ag 0.0696 0.5696 0.5000
4 Ag 0.2606 0.2606 0.0000
5 Ag 0.4304 0.9304 0.5000
6 Ag 0.5696 0.0696 0.5000
7 Ag 0.7394 0.7394 0.0000
8 Ag 0.9304 0.4304 0.5000
9 Pd 0.3570 0.3570 0.0000
10 Pd 0.5000 0.5000 0.0000
11 Pd 0.6430 0.6430 0.0000

=====

Entry 2:
The following is a DFT calculation (PBE) of Cd4AgPd15 after structural relaxation.

Output
* total magnetic moment: 0.000 μB per cell
* space group: P4/mmm (123)
* E_form: -196 meV per atom
* DOS at the Fermi energy: 25.7 states/eV per cell
* total energy: -4.416 eV/atom

Unit cell a=4.0278 b=4.0278 c=20.0535 alpha=90.00 beta=90.00 gamma=90.00
Fractional positions:
1 Cd 0.0000 0.0000 0.1003
2 Cd 0.0000 0.0000 0.3010
3 Cd 0.0000 0.0000 0.6990
4 Cd 0.0000 0.0000 0.8997
5 Ag 0.0000 0.0000 0.5000
6 Pd 0.0000 0.5000 0.0000
7 Pd 0.0000 0.5000 0.2008
8 Pd 0.0000 0.5000 0.4013
9 Pd 0.0000 0.5000 0.5987
10 Pd 0.0000 0.5000 0.7992
11 Pd 0.5000 0.0000 0.0000
12 Pd 0.5000 0.0000 0.2008
13 Pd 0.5000 0.0000 0.4013
14 Pd 0.5000 0.0000 0.5987
15 Pd 0.5000 0.0000 0.7992
16 Pd 0.5000 0.5000 0.1005
17 Pd 0.5000 0.5000 0.3014
18 Pd 0.5000 0.5000 0.5000
19 Pd 0.5000 0.5000 0.6986
20 Pd 0.5000 0.5000 0.8995

=====

Entry 3:
The following is a DFT calculation (PBE) of Cd5Ag3Pd2 after structural relaxation.

Output
* total magnetic moment: 0.000 μB per cell
* space group: P-1 (2)
* E_form: -187 meV per atom
* DOS at the Fermi energy: 3.8 states/eV per cell
* total energy: -2.538 eV/atom

Unit cell a=4.6661 b=4.7160 c=9.9447 alpha=101.52 beta=92.13 gamma=118.77
Fractional positions:
1 Cd 0.0000 0.0000 0.0000
2 Cd 0.1995 0.3993 0.5991
3 Cd 0.4014 0.8031 0.2039
4 Cd 0.5986 0.1969 0.7961
5 Cd 0.8005 0.6007 0.4009
6 Ag 0.2992 0.5986 0.8984
7 Ag 0.5000 0.0000 0.5000
8 Ag 0.7008 0.4014 0.1016
9 Pd 0.1005 0.2002 0.3000
10 Pd 0.8995 0.7998 0.7000

=====

Entry 4:
The following is a DFT calculation (PBE) of Cd6AgPd3 after structural relaxation.

Output
* total magnetic moment: 0.000 μB per cell
* space group: P2_1/c (14)
* E_form: -162 meV per atom
* DOS at the Fermi energy: 6.6 states/eV per cell
* total energy: -2.554 eV/atom
* ΔE to the lowest computed polymorph: 0.094 eV/atom

Unit cell a=7.3610 b=6.9970 c=10.4684 alpha=90.00 beta=131.67 gamma=90.00
Fractional positions:
1 Cd 0.0248 0.1105 0.2462
2 Cd 0.0248 0.3895 0.7462
3 Cd 0.2165 0.1536 0.0671
4 Cd 0.2165 0.3464 0.5671
5 Cd 0.4060 0.6312 0.0629
6 Cd 0.4060 0.8688 0.5629
7 Cd 0.5940 0.1312 0.4371
8 Cd 0.5940 0.3688 0.9371
9 Cd 0.7835 0.6536 0.4329
10 Cd 0.7835 0.8464 0.9329
11 Cd 0.9752 0.6105 0.2538
12 Cd 0.9752 0.8895 0.7538
13 Ag 0.5000 0.0000 0.0000
14 Ag 0.5000 0.5000 0.5000
15 Pd 0.0000 0.0000 0.5000
16 Pd 0.0000 0.5000 0.0000
17 Pd 0.2923 0.6897 0.7461
18 Pd 0.2923 0.8103 0.2461
19 Pd 0.7077 0.1897 0.7539
20 Pd 0.7077 0.3103 0.2539